First-principles (GGA-PBE) data for an optimized crystal structure of PrNd7Rh2, as listed in Alexandria.

Its formation enthalpy at 0 K is -93 meV per atom. The value obtained for the density of states at the Fermi level is 13.68 states/eV/f.u. Its crystal system is orthorhombic.

It has space group Cmmm (No. 65), with a = 8.9142 Å, b = 14.6529 Å, c = 5.4759 Å, α = 90.00°, β = 90.00° and γ = 90.00°. Symmetry generates all atoms from Pr at (0.0000, 0.0000, 0.0000), Nd at (0.0000, 0.2916, 0.0000), Nd at (0.0000, 0.5000, 0.5000), Nd at (0.1899, 0.1325, 0.5000) and Rh at (0.0000, 0.3000, 0.5000).